# 1
# P2RuAu | the Alexandria database | PBE | relaxed
# Formation energy ... 8.414 kcal/mol of atoms
# V ... 59.4 Å³/cell
# Spin magnetization ... 0.00 μB per formula unit
data_P2RuAu
_space_group_name_H-M_alt 'P 1'
_space_group_IT_number 1
_space_group_name_Hall 'P 1'
_cell_length_a 3.094
_cell_length_b 4.383
_cell_length_c 4.383
_cell_angle_alpha 90.00
_cell_angle_beta 90.00
_cell_angle_gamma 90.00
loop_
_atom_site_label
_atom_site_type_symbol
_atom_site_fract_x
_atom_site_fract_y
_atom_site_fract_z
Au1 Au 0.500 0.000 0.500
Ru1 Ru 0.500 0.500 0.000
P1 P 0.000 0.500 0.500
P2 P 0.000 0.000 0.000

***

# 2
# PRuAu2 | the Alexandria database | PBE | relaxed
# Formation energy ... 4.726 kcal/mol of atoms
# V ... 66.2 Å³/cell
# Spin magnetization ... 0.00 μB per formula unit
data_PRuAu2
_space_group_name_H-M_alt 'P 1'
_space_group_IT_number 1
_space_group_name_Hall 'P 1'
_cell_length_a 5.488
_cell_length_b 5.488
_cell_length_c 5.488
_cell_angle_alpha 147.02
_cell_angle_beta 132.04
_cell_angle_gamma 59.44
loop_
_atom_site_label
_atom_site_type_symbol
_atom_site_fract_x
_atom_site_fract_y
_atom_site_fract_z
Au1 Au 0.273 0.773 0.500
Ru1 Ru 0.708 0.208 0.500
Au2 Au 0.982 0.982 0.000
P1 P 0.537 0.537 0.000

***

Please write out number 2 again, unchanged.
# PRuAu2 | the Alexandria database | PBE | relaxed
# Formation energy ... 4.726 kcal/mol of atoms
# V ... 66.2 Å³/cell
# Spin magnetization ... 0.00 μB per formula unit
data_PRuAu2
_space_group_name_H-M_alt 'P 1'
_space_group_IT_number 1
_space_group_name_Hall 'P 1'
_cell_length_a 5.488
_cell_length_b 5.488
_cell_length_c 5.488
_cell_angle_alpha 147.02
_cell_angle_beta 132.04
_cell_angle_gamma 59.44
loop_
_atom_site_label
_atom_site_type_symbol
_atom_site_fract_x
_atom_site_fract_y
_atom_site_fract_z
Au1 Au 0.273 0.773 0.500
Ru1 Ru 0.708 0.208 0.500
Au2 Au 0.982 0.982 0.000
P1 P 0.537 0.537 0.000

***

Which formula does entry 2 have?
PRuAu2

***

Among the records above, which one has the highest formation energy?
P2RuAu